# Pu4Mn2Ge

A relaxed structure of Pu4Mn2Ge (PBE-GGA, Alexandria).

It has space group I-42d (No. 122), with a = 8.4459 Å, b = 8.4459 Å, c = 8.4159 Å, α = 90.00°, β = 90.00° and γ = 90.00°. The distinct sites, in fractional coordinates, are Pu at (0.0719, 0.1672, 0.3128), Mn at (0.1509, 0.2500, 0.6250) and Ge at (0.0000, 0.0000, 0.0000).

***

# Pu3MnGe2

A relaxed structure of Pu3MnGe2 (PBE-GGA, Alexandria).

The energy relative to the lowest polymorph listed for this composition comes out at 0 meV/atom.

It has space group Pnma (No. 62), with a = 12.0679 Å, b = 4.5601 Å, c = 9.0626 Å, α = 90.00°, β = 90.00° and γ = 90.00°. The distinct sites, in fractional coordinates, are Pu at (0.0486, 0.2500, 0.1026), Pu at (0.1480, 0.7500, 0.5920), Pu at (0.2480, 0.7500, 0.2730), Mn at (0.0984, 0.2500, 0.3944), Ge at (0.9999, 0.2500, 0.6818) and Ge at (0.1927, 0.7500, 0.9578).

***

# PuMnGe2

A relaxed structure of PuMnGe2 (PBE-GGA, Alexandria).

The energy relative to the lowest polymorph listed for this composition comes out at 250 meV/atom.

It has space group P4/mmm (No. 123), with a = 4.4336 Å, b = 4.4336 Å, c = 3.9377 Å, α = 90.00°, β = 90.00° and γ = 90.00°. The distinct sites, in fractional coordinates, are Pu at (0.0000, 0.0000, 0.0000), Mn at (0.5000, 0.5000, 0.0000) and Ge at (0.0000, 0.5000, 0.5000).

***

# Pu12MnGe6

A relaxed structure of Pu12MnGe6 (PBE-GGA, Alexandria).

It has space group R-3 (No. 148, hexagonal axes), with a = 10.4674 Å, b = 10.4674 Å, c = 13.2769 Å, α = 90.00°, β = 90.00° and γ = 120.00°. The distinct sites, in fractional coordinates, are Pu at (0.0062, 0.5147, 0.1187), Pu at (0.0581, 0.8431, 0.8865), Mn at (0.0000, 0.0000, 0.0000) and Ge at (0.0879, 0.9032, 0.6626).

***

# Pu4MnGe2

A relaxed structure of Pu4MnGe2 (PBE-GGA, Alexandria).

It has space group Cmmm (No. 65), with a = 8.1886 Å, b = 8.9513 Å, c = 4.2358 Å, α = 90.00°, β = 90.00° and γ = 90.00°. The distinct sites, in fractional coordinates, are Pu at (0.2032, 0.0000, 0.0000), Pu at (0.2500, 0.2500, 0.5000), Mn at (0.0000, 0.5000, 0.5000) and Ge at (0.0000, 0.3011, 0.0000).

***

# Pu2MnGe3

A relaxed structure of Pu2MnGe3 (PBE-GGA, Alexandria).

The energy relative to the lowest polymorph listed for this composition comes out at 0 meV/atom.

It has space group Cm (No. 8), with a = 10.2548 Å, b = 4.4114 Å, c = 7.1638 Å, α = 90.00°, β = 132.69° and γ = 90.00°. The distinct sites, in fractional coordinates, are Pu at (0.0000, 0.0000, 0.0000), Pu at (0.0424, 0.0000, 0.5281), Mn at (0.3567, 0.0000, 0.5506), Ge at (0.1687, 0.5000, 0.9265), Ge at (0.2061, 0.5000, 0.4372) and Ge at (0.3547, 0.0000, 0.1285).

***

# PuMnGe2

A relaxed structure of PuMnGe2 (PBE-GGA, Alexandria).

The energy relative to the lowest polymorph listed for this composition comes out at 164 meV/atom.

It has space group P4/mmm (No. 123), with a = 3.0939 Å, b = 3.0939 Å, c = 7.0135 Å, α = 90.00°, β = 90.00° and γ = 90.00°. The distinct sites, in fractional coordinates, are Pu at (0.0000, 0.0000, 0.0000), Mn at (0.0000, 0.0000, 0.5000) and Ge at (0.5000, 0.5000, 0.3034).

***

# Pu5MnGe3

A relaxed structure of Pu5MnGe3 (PBE-GGA, Alexandria).

It has space group P6_3/mcm (No. 193), with a = 8.8173 Å, b = 8.8173 Å, c = 5.8054 Å, α = 90.00°, β = 90.00° and γ = 120.00°. The distinct sites, in fractional coordinates, are Pu at (0.0000, 0.2669, 0.2500), Pu at (0.3333, 0.6667, 0.0000), Mn at (0.0000, 0.0000, 0.0000) and Ge at (0.0000, 0.3857, 0.7500).

***

# Pu2MnGe

A relaxed structure of Pu2MnGe (PBE-GGA, Alexandria).

It has space group P4/mmm (No. 123), with a = 3.7647 Å, b = 3.7647 Å, c = 5.6535 Å, α = 90.00°, β = 90.00° and γ = 90.00°. The distinct sites, in fractional coordinates, are Pu at (0.0000, 0.0000, 0.2436), Mn at (0.5000, 0.5000, 0.5000) and Ge at (0.5000, 0.5000, 0.0000).

***

# Pu5MnGe4

A relaxed structure of Pu5MnGe4 (PBE-GGA, Alexandria).

It has space group C2/m (No. 12), with a = 14.3926 Å, b = 3.9837 Å, c = 7.0695 Å, α = 90.00°, β = 105.50° and γ = 90.00°. The distinct sites, in fractional coordinates, are Pu at (0.0000, 0.0000, 0.0000), Pu at (0.1661, 0.5000, 0.7654), Pu at (0.2179, 0.5000, 0.1441), Mn at (0.0000, 0.0000, 0.5000), Ge at (0.0433, 0.5000, 0.3145) and Ge at (0.1715, 0.0000, 0.4343).

***

# Pu3MnGe2

A relaxed structure of Pu3MnGe2 (PBE-GGA, Alexandria).

The energy relative to the lowest polymorph listed for this composition comes out at 165 meV/atom.

It has space group Ibam (No. 72), with a = 5.8130 Å, b = 15.0423 Å, c = 5.7412 Å, α = 90.00°, β = 90.00° and γ = 90.00°. The distinct sites, in fractional coordinates, are Pu at (0.0000, 0.0000, 0.2500), Pu at (0.1940, 0.1733, 0.0000), Mn at (0.0000, 0.5000, 0.2500) and Ge at (0.1844, 0.3761, 0.0000).

***

# Pu6MnGe5

A relaxed structure of Pu6MnGe5 (PBE-GGA, Alexandria).

It has space group C2/m (No. 12), with a = 16.1788 Å, b = 4.4244 Å, c = 8.3596 Å, α = 90.00°, β = 120.80° and γ = 90.00°. The distinct sites, in fractional coordinates, are Pu at (0.0049, 0.0000, 0.2571), Pu at (0.1706, 0.5000, 0.9409), Pu at (0.1725, 0.5000, 0.4407), Mn at (0.0000, 0.5000, 0.5000), Ge at (0.0000, 0.5000, 0.0000), Ge at (0.1516, 0.0000, 0.6611) and Ge at (0.1609, 0.0000, 0.1651).

***

# Pu3MnGe4

A relaxed structure of Pu3MnGe4 (PBE-GGA, Alexandria).

It has space group Pmn2_1 (No. 31), with a = 9.3604 Å, b = 5.9774 Å, c = 5.9678 Å, α = 90.00°, β = 90.00° and γ = 90.00°. The distinct sites, in fractional coordinates, are Pu at (0.0000, 0.0699, 0.0000), Pu at (0.2488, 0.2491, 0.3242), Mn at (0.0000, 0.5140, 0.5623), Ge at (0.0000, 0.5461, 0.0834), Ge at (0.0000, 0.9842, 0.5244) and Ge at (0.2092, 0.7485, 0.3224).

***

# PuMn2Ge

A relaxed structure of PuMn2Ge (PBE-GGA, Alexandria).

It has space group Cmcm (No. 63), with a = 3.4737 Å, b = 19.4571 Å, c = 4.0592 Å, α = 90.00°, β = 90.00° and γ = 90.00°. The distinct sites, in fractional coordinates, are Pu at (0.0000, 0.0923, 0.2500), Mn at (0.0000, 0.2562, 0.7500), Mn at (0.0000, 0.4609, 0.2500) and Ge at (0.0000, 0.3306, 0.2500).

***

# PuMnGe2Rh

A relaxed structure of PuMnGe2Rh (PBE-GGA, Alexandria).

It has space group I-4m2 (No. 119), with a = 4.0482 Å, b = 4.0482 Å, c = 10.8207 Å, α = 90.00°, β = 90.00° and γ = 90.00°. The distinct sites, in fractional coordinates, are Pu at (0.0000, 0.0000, 0.0000), Mn at (0.0000, 0.5000, 0.7500), Ge at (0.0000, 0.0000, 0.3830) and Rh at (0.0000, 0.5000, 0.2500).

***

# Pu2MnTcGe6

A relaxed structure of Pu2MnTcGe6 (PBE-GGA, Alexandria).

It has space group R-3m (No. 166, hexagonal axes), with a = 6.1089 Å, b = 6.1089 Å, c = 35.9164 Å, α = 90.00°, β = 90.00° and γ = 120.00°. The distinct sites, in fractional coordinates, are Pu at (0.0000, 0.0000, 0.1117), Pu at (0.0000, 0.0000, 0.2970), Mn at (0.0000, 0.0000, 0.4257), Tc at (0.0000, 0.0000, 0.0000), Tc at (0.0000, 0.0000, 0.5000), Ge at (0.0392, 0.5196, 0.2916) and Ge at (0.0601, 0.5301, 0.8722).

***

# PuMnZnGe

A relaxed structure of PuMnZnGe (PBE-GGA, Alexandria).

It has space group F-43m (No. 216), with a = 6.7175 Å, b = 6.7175 Å, c = 6.7175 Å, α = 90.00°, β = 90.00° and γ = 90.00°. The distinct sites, in fractional coordinates, are Pu at (0.0000, 0.0000, 0.0000), Mn at (0.0000, 0.0000, 0.5000), Zn at (0.2500, 0.2500, 0.7500) and Ge at (0.2500, 0.2500, 0.2500).

***

# PuMnZnGe2

A relaxed structure of PuMnZnGe2 (PBE-GGA, Alexandria).

It has space group Cmme (No. 67), with a = 5.5503 Å, b = 12.1916 Å, c = 5.5366 Å, α = 90.00°, β = 90.00° and γ = 90.00°. The distinct sites, in fractional coordinates, are Pu at (0.0000, 0.2500, 0.2084), Mn at (0.2500, 0.0000, 0.5000), Zn at (0.0000, 0.0000, 0.0000) and Ge at (0.0000, 0.1442, 0.6948).

***

# Pu2MnZnGe6

A relaxed structure of Pu2MnZnGe6 (PBE-GGA, Alexandria).

It has space group R-3m (No. 166, hexagonal axes), with a = 6.1889 Å, b = 6.1889 Å, c = 35.4380 Å, α = 90.00°, β = 90.00° and γ = 120.00°. The distinct sites, in fractional coordinates, are Pu at (0.0000, 0.0000, 0.1092), Pu at (0.0000, 0.0000, 0.2929), Mn at (0.0000, 0.0000, 0.0000), Mn at (0.0000, 0.0000, 0.5000), Zn at (0.0000, 0.0000, 0.4286), Ge at (0.0407, 0.5204, 0.2944) and Ge at (0.0646, 0.5323, 0.8654).

***

# RbMnGe2

A relaxed structure of RbMnGe2 (PBE-GGA, Alexandria).

The energy relative to the lowest polymorph listed for this composition comes out at 92 meV/atom.

It has space group I4_1/amd (No. 141, origin choice 2), with a = 6.1338 Å, b = 6.1338 Å, c = 13.4394 Å, α = 90.00°, β = 90.00° and γ = 90.00°. The distinct sites, in fractional coordinates, are Rb at (0.0000, 0.2500, 0.3750), Mn at (0.0000, 0.2500, 0.8750) and Ge at (0.0000, 0.0000, 0.0000).

***

In order of appearance, energy relative to the elements = 0.0314 -0.3714 -0.0839 -0.0884 -0.2212 -0.3012 -0.1696 -0.2293 -0.2223 -0.1297 -0.2060 -0.3083 -0.2330 -0.0795 -0.4915 -0.2220 0.0117 -0.0988 -0.1227 0.1522 eV/atom.
In order of appearance, size of the total moment = 17.33 13.06 9.22 2.79 19.77 2.83 6.78 2.85 7.61 7.71 8.15 8.28 20.77 4.54 8.36 2.72 9.29 8.54 11.74 1.47 μB per formula unit.